No. 1
{"formula": "Rb2UGeTe4", "functional": "PBE-GGA", "state": "relaxed", "e_form_raw_ev_per_atom": -0.6946, "vol_a3_per_atom": 37.6, "cell": [[7.889, 0.000, 0.000], [0.000, 4.542, 0.000], [-2.555, 0.000, 8.405]], "species": ["Rb", "Rb", "U", "Ge", "Te", "Te", "Te", "Te"], "frac_coords": [[0.000, 0.000, 0.000], [0.500, 0.500, 0.000], [0.000, 0.500, 0.500], [0.500, 0.000, 0.500], [0.233, 0.000, 0.694], [0.268, 0.500, 0.311], [0.732, 0.500, 0.689], [0.767, 0.000, 0.306]]}

No. 2
{"formula": "RbUGeTe3", "functional": "PBE-GGA", "state": "relaxed", "e_form_raw_ev_per_atom": -0.5741, "vol_a3_per_atom": 32.7, "cell": [[10.026, 0.000, 0.000], [0.000, 4.170, 0.000], [-3.653, 0.000, 9.390]], "species": ["Rb", "Rb", "U", "U", "Ge", "Ge", "Te", "Te", "Te", "Te", "Te", "Te"], "frac_coords": [[0.224, 0.250, 0.481], [0.776, 0.750, 0.519], [0.221, 0.250, 0.990], [0.779, 0.750, 0.010], [0.472, 0.750, 0.080], [0.528, 0.250, 0.920], [0.121, 0.750, 0.158], [0.167, 0.750, 0.760], [0.474, 0.250, 0.275], [0.526, 0.750, 0.725], [0.833, 0.250, 0.240], [0.879, 0.250, 0.842]]}